Entry from Alexandria via LeMat-Bulk: a geometry-optimized PmSm3Ho structure (PBE).

```
data_PmSm3Ho
_cell_length_a 6.337
_cell_length_b 6.863
_cell_length_c 9.345
_cell_angle_alpha 108.45
_cell_angle_beta 90.03
_cell_angle_gamma 117.47
_symmetry_space_group_name_H-M 'P 1'
_symmetry_Int_Tables_number 1
_symmetry_space_group_name_Hall 'P 1'
loop_
_atom_site_label
_atom_site_fract_x
_atom_site_fract_y
_atom_site_fract_z
_atom_site_occupancy
Pm1 0.033 0.400 0.152 1
Pm2 0.967 0.600 0.848 1
Sm1 0.167 0.001 0.250 1
Sm2 0.233 0.802 0.548 1
Sm3 0.436 0.202 0.948 1
Sm4 0.564 0.798 0.052 1
Sm5 0.767 0.198 0.452 1
Sm6 0.833 0.999 0.750 1
Ho1 0.366 0.402 0.648 1
Ho2 0.634 0.598 0.352 1
```

## Properties
Energy relative to the elements ... 25 meV/atom
Calculated density ... 7.50 g/cm3
Space group ... P-1, No. 2


Entry from Alexandria via LeMat-Bulk: a geometry-optimized CeAlGaNi3 structure (PBE).

```
data_CeAlGaNi3
_cell_length_a 6.272
_cell_length_b 6.272
_cell_length_c 6.637
_cell_angle_alpha 90.00
_cell_angle_beta 90.00
_cell_angle_gamma 130.54
_symmetry_space_group_name_H-M 'P 1'
_symmetry_Int_Tables_number 1
_symmetry_space_group_name_Hall 'P 1'
loop_
_atom_site_label
_atom_site_fract_x
_atom_site_fract_y
_atom_site_fract_z
_atom_site_occupancy
Ce1 0.172 0.828 0.750 1
Ce2 0.828 0.172 0.250 1
Al1 0.131 0.869 0.250 1
Al2 0.869 0.131 0.750 1
Ga1 0.429 0.571 0.750 1
Ga2 0.571 0.429 0.250 1
Ni1 0.235 0.235 0.000 1
Ni2 0.235 0.235 0.500 1
Ni3 0.348 0.652 0.250 1
Ni4 0.652 0.348 0.750 1
Ni5 0.765 0.765 0.000 1
Ni6 0.765 0.765 0.500 1
```

## Properties
Energy relative to the elements ... -325 meV/atom
Calculated density ... 6.91 g/cm3
Space group ... Cmcm, No. 63


Entry from Alexandria via LeMat-Bulk: a geometry-optimized Pm5NdSmTm2 structure (PBE).

```
data_Pm5NdSmTm2
_cell_length_a 10.564
_cell_length_b 10.564
_cell_length_c 10.636
_cell_angle_alpha 90.00
_cell_angle_beta 90.00
_cell_angle_gamma 148.78
_symmetry_space_group_name_H-M 'P 1'
_symmetry_Int_Tables_number 1
_symmetry_space_group_name_Hall 'P 1'
loop_
_atom_site_label
_atom_site_fract_x
_atom_site_fract_y
_atom_site_fract_z
_atom_site_occupancy
Pm1 0.017 0.983 0.500 1
Pm2 0.281 0.719 0.788 1
Pm3 0.297 0.703 0.183 1
Pm4 0.390 0.610 0.503 1
Pm5 0.477 0.523 0.217 1
Pm6 0.523 0.477 0.717 1
Pm7 0.610 0.390 0.003 1
Pm8 0.703 0.297 0.683 1
Pm9 0.719 0.281 0.288 1
Pm10 0.983 0.017 0.000 1
Nd1 0.414 0.586 0.927 1
Nd2 0.586 0.414 0.427 1
Sm1 0.200 0.800 0.488 1
Sm2 0.800 0.200 0.988 1
Tm1 0.112 0.888 0.212 1
Tm2 0.116 0.884 0.798 1
Tm3 0.884 0.116 0.298 1
Tm4 0.888 0.112 0.712 1
```

## Properties
Energy relative to the elements ... 151 meV/atom
Calculated density ... 7.33 g/cm3
Space group ... Cmc2_1, No. 36


Entry from Alexandria via LeMat-Bulk: a geometry-optimized CrTe2As structure (PBE).

```
data_CrTe2As
_cell_length_a 3.138
_cell_length_b 3.138
_cell_length_c 8.925
_cell_angle_alpha 90.00
_cell_angle_beta 90.00
_cell_angle_gamma 90.00
_symmetry_space_group_name_H-M 'P 1'
_symmetry_Int_Tables_number 1
_symmetry_space_group_name_Hall 'P 1'
loop_
_atom_site_label
_atom_site_fract_x
_atom_site_fract_y
_atom_site_fract_z
_atom_site_occupancy
Cr1 0.000 0.000 0.000 1
Te1 0.500 0.500 0.182 1
Te2 0.500 0.500 0.818 1
As1 0.000 0.000 0.500 1
```

## Properties
Raw formation energy ... 0.411 eV per atom
Calculated density ... 7.22 g/cm3
Space group ... P4/mmm, No. 123


Entry from Alexandria via LeMat-Bulk: a geometry-optimized SrAsPt2 structure (PBE).

```
data_SrAsPt2
_cell_length_a 4.461
_cell_length_b 4.461
_cell_length_c 15.762
_cell_angle_alpha 90.00
_cell_angle_beta 90.00
_cell_angle_gamma 120.00
_symmetry_space_group_name_H-M 'P 1'
_symmetry_Int_Tables_number 1
_symmetry_space_group_name_Hall 'P 1'
loop_
_atom_site_label
_atom_site_fract_x
_atom_site_fract_y
_atom_site_fract_z
_atom_site_occupancy
Sr1 0.000 0.000 0.000 1
Sr2 0.333 0.667 0.667 1
Sr3 0.667 0.333 0.333 1
As1 0.000 0.000 0.202 1
As2 0.333 0.667 0.869 1
As3 0.667 0.333 0.536 1
Pt1 0.000 0.000 0.507 1
Pt2 0.000 0.000 0.796 1
Pt3 0.333 0.667 0.174 1
Pt4 0.333 0.667 0.462 1
Pt5 0.667 0.333 0.129 1
Pt6 0.667 0.333 0.840 1
```

## Properties
Energy relative to the elements ... -607 meV/atom
Calculated density ... 10.13 g/cm3
Space group ... R3m, No. 160


Entry from Alexandria via LeMat-Bulk: a geometry-optimized CsAg2PdF8 structure (PBE).

```
data_CsAg2PdF8
_cell_length_a 9.594
_cell_length_b 9.594
_cell_length_c 9.594
_cell_angle_alpha 36.18
_cell_angle_beta 36.18
_cell_angle_gamma 36.18
_symmetry_space_group_name_H-M 'P 1'
_symmetry_Int_Tables_number 1
_symmetry_space_group_name_Hall 'P 1'
loop_
_atom_site_label
_atom_site_fract_x
_atom_site_fract_y
_atom_site_fract_z
_atom_site_occupancy
Cs1 0.000 0.000 0.000 1
Ag1 0.254 0.254 0.254 1
Ag2 0.746 0.746 0.746 1
Pd1 0.500 0.500 0.500 1
F1 0.150 0.610 0.610 1
F2 0.330 0.330 0.330 1
F3 0.390 0.390 0.850 1
F4 0.390 0.850 0.390 1
F5 0.610 0.150 0.610 1
F6 0.610 0.610 0.150 1
F7 0.670 0.670 0.670 1
F8 0.850 0.390 0.390 1
```

## Properties
Raw formation energy ... -1.366 eV per atom
Calculated density ... 3.66 g/cm3
Space group ... R-3m, No. 166